Computed, not measured: CaMnO3 after structural relaxation at the PBE with a Hubbard U level of DFT.

Calculated values
Final energy = -33.9 eV per formula unit

The structure in CIF format:
```
data_CaMnO3
_cell_length_a 3.5554
_cell_length_b 3.5554
_cell_length_c 11.9382
_cell_angle_alpha 90.00
_cell_angle_beta 90.00
_cell_angle_gamma 120.00
_symmetry_space_group_name_H-M 'P 63/m m c'
_symmetry_Int_Tables_number 194
_symmetry_space_group_name_Hall '-P 6c 2c'
loop_
_atom_site_label
_atom_site_fract_x
_atom_site_fract_y
_atom_site_fract_z
_atom_site_occupancy
Ca1 0.0000 0.0000 0.0000 1
Mn1 0.3333 0.6667 0.2500 1
O1 0.0000 0.0000 0.2500 1
O2 0.3333 0.6667 0.0951 1
```